{
  "formula": "HfZr2Ni2As4Pd2",
  "functional": "PBE",
  "state": "optimized geometry",
  "relative_energy_mev_per_atom": 20,
  "total_energy_ev_per_atom": -6.902,
  "space_group": "No. 6",
  "volume_a3_per_atom": 17.5,
  "magmom_total_mub_per_atom": 0.000,
  "lattice": [[6.554, 0.000, 0.000], [0.000, 3.869, 0.000], [-0.129, 0.000, 7.585]],
  "species": ["Pd", "As", "Hf", "Ni", "Ni", "Zr", "As", "Pd", "As", "Zr", "As"],
  "fractional_positions": [[0.856, 0.500, 0.571], [0.240, 0.500, 0.616], [0.972, 0.500, 0.188], [0.638, 0.000, 0.059], [0.150, 0.000, 0.442], [0.467, 0.500, 0.313], [0.766, 0.500, 0.892], [0.367, 0.500, 0.936], [0.247, 0.000, 0.128], [0.533, 0.000, 0.687], [0.761, 0.000, 0.365]]
}